1.
This record from Alexandria describes a relaxed SmHoCuSn crystal. The functional is PBE.

Calculated values
- Energy relative to the elements: -40.8 kJ per mole of atoms

a b c (Å): 5.1885 5.1885 5.1885
angles (deg): 60.00 60.00 60.00
Atoms (fractional coordinates):
Cu 0.7500 0.7500 0.7500
Sm 0.5000 0.5000 0.5000
Ho 0.0000 0.0000 0.0000
Sn 0.2500 0.2500 0.2500



2.
This record from Alexandria describes a relaxed TbSmHoCu crystal. The functional is PBE.

Calculated values
- Energy relative to the elements: -9.7 kJ per mole of atoms

a b c (Å): 3.5140 3.5140 8.6743
angles (deg): 90.00 90.00 90.00
Atoms (fractional coordinates):
Cu 0.0000 0.0000 0.5666
Tb 0.5000 0.5000 0.7666
Sm 0.0000 0.0000 0.0736
Ho 0.5000 0.5000 0.3779



3.
This record from Alexandria describes a relaxed Sm2HoCuTe5 crystal. The functional is PBE.

Calculated values
- Formation energy from raw total energies: -1.18 eV/atom

a b c (Å): 4.2778 9.7048 12.9687
angles (deg): 90.00 90.00 102.73
Atoms (fractional coordinates):
Te 0.9591 0.9182 0.5654
Te 0.6874 0.3749 0.8414
Te 0.7139 0.4279 0.1726
Te 0.0409 0.0818 0.0654
Te 0.5001 0.0003 0.2867
Te 0.2861 0.5721 0.6726
Te 0.4999 0.9997 0.7867
Te 0.6454 0.2909 0.4989
Te 0.3546 0.7091 0.9989
Te 0.3126 0.6251 0.3414
Sm 0.1243 0.2486 0.3054
Sm 0.8757 0.7514 0.8054
Sm 0.1091 0.2182 0.6853
Sm 0.8909 0.7818 0.1853
Cu 0.5713 0.1425 0.9591
Cu 0.4287 0.8575 0.4591
Ho 0.1901 0.3803 0.0093
Ho 0.8099 0.6197 0.5093



Number 1: M_tot 0.0 μB per formula unit, D(E_F) 3.79 states/eV per cell, VASP energy -4.77 eV per atom. Number 2: M_tot 0.0 μB per formula unit, D(E_F) 4.13 states/eV per cell, VASP energy -4.61 eV per atom. Number 3: M_tot 0.0 μB per formula unit, D(E_F) 0.29 states/eV per cell, VASP energy -4.93 eV per atom.